# LiMnAsO4, relaxed, DFT GGA+U
# - Energy above the most stable polymorph in this dataset: 0.40 eV/f.u.
# - Total magnetic moment: 0.7143 μB per atom
# - Electronic total energy: -6.460 eV per atom
data_LiMnAsO4
_cell_length_a 5.942
_cell_length_b 6.174
_cell_length_c 8.357
_cell_angle_alpha 90.00
_cell_angle_beta 90.00
_cell_angle_gamma 90.00
_space_group_name_H-M_alt 'I m m a'
_space_group_IT_number 74
_space_group_name_Hall '-I 2b 2'
loop_
_atom_site_label
_atom_site_fract_x
_atom_site_fract_y
_atom_site_fract_z
_atom_site_occupancy
Li1 0.250 0.250 0.250 1
Mn1 0.000 0.000 0.000 1
As1 0.000 0.250 0.625 1
O1 0.000 0.017 0.740 1
O2 0.238 0.250 0.501 1